The following is a GGA-PBEsol calculation of ZrAlNi2 after structural relaxation, from Alexandria.

The structure belongs to space group Cm (No. 8); the cell edges are 8.922, 3.001 and 4.343 Å and the angles 90.00°, 103.50° and 90.00°. Symmetry generates all atoms from Zr at (0.000, 0.000, 0.000), Al at (0.269, 0.500, 0.364), Ni at (0.003, 0.500, 0.505) and Ni at (0.247, 0.000, 0.811).

As for the energy relative to the elements: -1.6 eV/f.u. As for the density of states at the Fermi level: 4.231 states/eV per cell.